## CeLu2Ge (PBE)

Data for crystalline CeLu2Ge at its relaxed geometry.

a b c (Å): 3.499 3.499 8.452
angles (deg): 90.00 90.00 90.00
Positions (direct):
Ce 0.000 0.000 0.000
Lu 0.500 0.500 0.298
Lu 0.500 0.500 0.702
Ge 0.000 0.000 0.500

The offset from the most stable computed form is 25 meV per atom. As for the total DFT energy (no corrections): -5.180 eV per atom. For the total moment, the calculation gives 1.23 μB/f.u. Its formation energy is -0.2820 eV per atom.